Entry 1:
K3PmDy2S6: relaxed, PBE.

Structure (extended XYZ):
```
12
Lattice="3.5417 -6.1342 0.0000 3.5417 6.1342 0.0000 -2.3628 0.0000 7.3785" Properties=species:S:1:pos:R:3 pbc="T T T"
K 0.0000 0.0000 0.0000
K 3.5417 2.0359 0.0000
K 3.5417 -2.0359 0.0000
Pm 2.3603 0.0000 3.6892
Dy 2.3603 4.0884 3.6892
Dy 2.3603 -4.0884 3.6892
S 1.1566 2.0847 2.1900
S -0.0474 0.0000 5.1885
S 1.1566 -2.0847 2.1900
S 3.5640 2.0847 5.1885
S 4.7681 0.0000 2.1900
S 3.5640 -2.0847 5.1885
```

- raw formation energy (meV/atom) = -1879
- DOS at the Fermi energy (states/eV per cell) = 0.00

***

Entry 2:
RbZnSb3: relaxed, PBE.

Structure (extended XYZ):
```
10
Lattice="6.8145 0.0000 0.0000 0.0000 5.9217 0.0000 -0.1750 0.0000 9.1035" Properties=species:S:1:pos:R:3 pbc="T T T"
Rb 1.6776 0.0000 1.0475
Rb 4.9619 2.9608 8.0560
Zn 1.4981 2.0227 5.0942
Zn 5.1413 4.9835 4.0093
Sb 0.0230 3.0307 3.0143
Sb 1.5880 3.9386 7.0161
Sb 3.2836 0.0347 5.8782
Sb 3.3559 2.9956 3.2253
Sb 5.0515 0.9778 2.0874
Sb 6.6164 0.0699 6.0892
```

- raw formation energy (meV/atom) = -105
- DOS at the Fermi energy (states/eV per cell) = 5.91

***

Entry 3:
Mg2GePd2: relaxed, PBE.

Structure (extended XYZ):
```
5
Lattice="-2.0778 2.7388 3.9260 2.0778 -2.7388 3.9260 2.0778 2.7388 -3.9260" Properties=species:S:1:pos:R:3 pbc="T T T"
Mg 0.0000 0.0000 1.4985
Mg 0.0000 0.0000 6.3536
Ge 0.0000 2.7388 0.0000
Pd 2.0778 1.3405 0.0000
Pd 0.0000 1.3983 3.9260
```

- DOS at the Fermi energy (states/eV per cell) = 2.02

***

Entry 4:
Sm3SbTe6: relaxed, PBE.

Structure (extended XYZ):
```
20
Lattice="6.0447 -7.6072 0.0000 6.0447 7.6072 0.0000 0.0000 0.0000 7.6209" Properties=species:S:1:pos:R:3 pbc="T T T"
Sm 6.0447 6.2134 3.8104
Sm 3.8580 1.5032 4.7099
Sm 3.8580 -1.5032 0.8995
Sm 8.2313 1.5032 4.7099
Sm 8.2313 -1.5032 0.8995
Sm 6.0447 -6.2134 0.0000
Sb 6.0447 2.6947 0.9888
Sb 6.0447 -2.6947 4.7992
Te 4.0032 4.0399 2.5492
Te 2.0116 0.5757 2.3221
Te 2.0116 -0.5757 6.1325
Te 6.0447 3.5783 5.7646
Te 8.0861 4.0399 2.5492
Te 6.0447 0.0696 2.8668
Te 6.0447 -0.0696 6.6772
Te 4.0032 -4.0399 6.3597
Te 6.0447 -3.5783 1.9542
Te 10.0777 0.5757 2.3221
Te 10.0777 -0.5757 6.1325
Te 8.0861 -4.0399 6.3597
```

- raw formation energy (meV/atom) = -1043

***

Number 1: V 321 Å³/cell, magnetization 0.000 μB per formula unit, DFT total energy -5.380 eV per atom. Number 2: V 367 Å³/cell, magnetization 0.000 μB per formula unit, DFT total energy -3.027 eV per atom. Number 3: V 89 Å³/cell, magnetization 0.000 μB per formula unit, DFT total energy -4.198 eV per atom. Number 4: V 701 Å³/cell, magnetization 0.000 μB per formula unit, DFT total energy -4.756 eV per atom.